# 1
{
  "formula": "NaInRhPb",
  "functional": "PBE",
  "state": "relaxed",
  "cell": [[0.000, 3.445, 3.445], [3.445, 0.000, 3.445], [3.445, 3.445, 0.000]],
  "species": ["Na", "In", "Rh", "Pb"],
  "frac_coords": [[0.000, 0.000, 0.000], [0.750, 0.750, 0.750], [0.500, 0.500, 0.500], [0.250, 0.250, 0.250]],
  "m_tot_mub_per_fu": 0.0,
  "volume_a3_per_atom": 20.4,
  "e_tot_ev_per_atom": -3.874,
  "ef_ev_per_atom": -0.0944,
  "mass_density_g_cm3": 9.1,
  "n_ef_per_ev_atom": 0.41,
  "sg": "F-43m (216)"
}

# 2
{
  "formula": "NaIn2RhPb",
  "functional": "PBE",
  "state": "relaxed",
  "cell": [[5.204, 0.000, 0.000], [0.000, 5.204, 0.000], [0.000, 0.000, 5.320]],
  "species": ["Na", "In", "In", "Rh", "Pb"],
  "frac_coords": [[0.000, 0.000, 0.000], [0.000, 0.500, 0.500], [0.500, 0.000, 0.500], [0.500, 0.500, 0.500], [0.500, 0.500, 0.000]],
  "m_tot_mub_per_fu": 0.0,
  "volume_a3_per_atom": 28.8,
  "e_tot_ev_per_atom": -3.656,
  "ef_ev_per_atom": -0.0844,
  "mass_density_g_cm3": 6.5,
  "n_ef_per_ev_atom": 0.68,
  "sg": "P4/mmm (123)"
}

# 3
{
  "formula": "NaScInPb",
  "functional": "PBE",
  "state": "relaxed",
  "cell": [[0.000, 3.690, 3.690], [3.690, 0.000, 3.690], [3.690, 3.690, 0.000]],
  "species": ["Na", "Sc", "In", "Pb"],
  "frac_coords": [[0.000, 0.000, 0.000], [0.500, 0.500, 0.500], [0.250, 0.250, 0.250], [0.750, 0.750, 0.750]],
  "m_tot_mub_per_fu": 0.0,
  "volume_a3_per_atom": 25.1,
  "e_tot_ev_per_atom": -3.692,
  "ef_ev_per_atom": -0.1678,
  "mass_density_g_cm3": 6.4,
  "n_ef_per_ev_atom": 0.68,
  "sg": "F-43m (216)"
}

# 4
{
  "formula": "NaInPbSe3",
  "functional": "PBE",
  "state": "relaxed",
  "cell": [[8.785, 0.000, 0.000], [0.000, 4.254, 0.000], [-1.216, 0.000, 11.178]],
  "species": ["Na", "Na", "In", "In", "Pb", "Pb", "Se", "Se", "Se", "Se", "Se", "Se"],
  "frac_coords": [[0.144, 0.250, 0.124], [0.856, 0.750, 0.876], [0.079, 0.250, 0.620], [0.921, 0.750, 0.380], [0.380, 0.750, 0.866], [0.620, 0.250, 0.134], [0.093, 0.250, 0.845], [0.197, 0.750, 0.513], [0.376, 0.750, 0.117], [0.624, 0.250, 0.883], [0.803, 0.250, 0.487], [0.907, 0.750, 0.155]],
  "m_tot_mub_per_fu": 0.0,
  "volume_a3_per_atom": 34.8,
  "e_tot_ev_per_atom": -3.709,
  "e_form_raw_kj_per_mol_fu": -389,
  "mass_density_g_cm3": 4.6,
  "sg": "P2_1/m (11)"
}

# 5
{
  "formula": "Na2InPbSe4",
  "functional": "PBE",
  "state": "relaxed",
  "cell": [[7.176, 0.000, 0.000], [0.000, 4.106, 0.000], [-2.391, 0.000, 7.104]],
  "species": ["Na", "Na", "In", "Pb", "Se", "Se", "Se", "Se"],
  "frac_coords": [[0.000, 0.000, 0.000], [0.500, 0.500, 0.000], [0.000, 0.500, 0.500], [0.500, 0.000, 0.500], [0.228, 0.000, 0.725], [0.238, 0.500, 0.266], [0.762, 0.500, 0.734], [0.772, 0.000, 0.275]],
  "m_tot_mub_per_fu": 0.0,
  "volume_a3_per_atom": 26.2,
  "e_tot_ev_per_atom": -3.583,
  "e_form_raw_kj_per_mol_fu": -544,
  "mass_density_g_cm3": 5.4,
  "n_ef_per_ev_atom": 0.32,
  "sg": "P2/m (10)"
}

# 6
{
  "formula": "Na2SmInPb2",
  "functional": "PBE",
  "state": "relaxed",
  "cell": [[4.740, 0.000, 0.000], [0.000, 9.649, 0.000], [0.000, 0.000, 7.775]],
  "species": ["Na", "Na", "Na", "Na", "Sm", "Sm", "In", "In", "Pb", "Pb", "Pb", "Pb"],
  "frac_coords": [[0.000, 0.065, 0.000], [0.000, 0.935, 0.500], [0.500, 0.170, 0.303], [0.500, 0.830, 0.803], [0.500, 0.451, 0.923], [0.500, 0.549, 0.423], [0.000, 0.323, 0.601], [0.000, 0.677, 0.101], [0.000, 0.372, 0.203], [0.000, 0.628, 0.703], [0.500, 0.157, 0.722], [0.500, 0.843, 0.222]],
  "m_tot_mub_per_fu": 0.0,
  "volume_a3_per_atom": 29.6,
  "e_tot_ev_per_atom": -3.208,
  "ef_ev_per_atom": -0.2893,
  "mass_density_g_cm3": 6.8,
  "n_ef_per_ev_atom": 0.15,
  "sg": "Pmc2_1 (26)"
}